(1)
CsAs2W (PBE, optimized geometry); density = 8.8 Mg/m³; symmetry = Fm-3m, No. 225; crystal system = cubic; spin magnetization = 0.484 μB/atom; calculated total energy = -4.660 eV per atom; volume = 21.895 Å³ per atom
1.0
0.000 3.525 3.525
3.525 0.000 3.525
3.525 3.525 0.000
As W Cs
2 1 1
Direct
0.250 0.250 0.250 As
0.750 0.750 0.750 As
0.500 0.500 0.500 W
0.000 0.000 0.000 Cs

***

(2)
Tb2ScHg4 (PBE, optimized geometry); density = 8.7 Mg/m³; symmetry = I4/mmm, No. 139; crystal system = tetragonal; spin magnetization = 0.000 μB/atom; polymorph energy (0 for the lowest one) = 2.21 eV per formula unit; volume = 31.596 Å³ per atom
1.0
-3.998 -3.153 -1.797
1.967 -4.130 2.869
-3.270 5.706 5.374
Hg Tb Sc
4 2 1
Direct
0.191 0.191 0.381 Hg
0.809 0.809 0.619 Hg
0.500 0.000 0.000 Hg
0.000 0.500 0.000 Hg
0.392 0.392 0.783 Tb
0.608 0.608 0.217 Tb
0.000 0.000 0.000 Sc

***

(3)
K3Er2TlSe6 (PBE, optimized geometry); density = 5.3 Mg/m³; symmetry = C2/m, No. 12; crystal system = monoclinic; formation energy (no corrections) = -1341 meV per atom; spin magnetization = 0.000 μB/atom; volume = 29.433 Å³ per atom
1.0
7.270 0.000 0.001
-3.633 6.297 0.001
-1.212 -2.098 7.715
Se Er Tl K
6 2 1 3
Direct
0.407 0.068 0.205 Se
0.730 0.730 0.205 Se
0.068 0.407 0.205 Se
0.932 0.593 0.795 Se
0.593 0.932 0.795 Se
0.270 0.270 0.795 Se
0.667 0.333 0.000 Er
0.333 0.667 0.000 Er
0.000 0.000 0.000 Tl
0.500 0.500 0.500 K
0.165 0.835 0.500 K
0.835 0.165 0.500 K

***

(4)
Pu2Pa2AlSi4 (PBE, optimized geometry); density = 9.5 Mg/m³; symmetry = I4/mmm, No. 139; crystal system = tetragonal; formation energy (no corrections) = 22 meV per atom; spin magnetization = 1.500 μB/atom; volume = 21.168 Å³ per atom
1.0
6.334 0.176 0.255
-2.886 5.641 -0.255
-2.886 -2.220 5.192
Pa Pu Si Al
2 2 4 1
Direct
0.500 0.250 0.750 Pa
0.500 0.750 0.250 Pa
0.000 0.322 0.322 Pu
0.000 0.678 0.678 Pu
0.497 0.248 0.248 Si
0.000 0.248 0.752 Si
0.503 0.752 0.752 Si
0.000 0.752 0.248 Si
0.000 0.000 0.000 Al

***

(5)
TmZn6Cd6 (PBE, optimized geometry); density = 8.4 Mg/m³; symmetry = Immm, No. 71; crystal system = orthorhombic; spin magnetization = 0.000 μB/atom; calculated total energy = -1.441 eV per atom; volume = 18.879 Å³ per atom
1.0
-5.314 0.062 1.697
-0.964 -3.394 6.272
-1.592 5.785 3.972
Tm Zn Cd
1 6 6
Direct
0.000 0.000 0.000 Tm
0.000 0.500 0.000 Zn
0.000 0.000 0.500 Zn
0.500 0.000 0.500 Zn
0.500 0.772 0.228 Zn
0.500 0.228 0.772 Zn
0.500 0.500 0.000 Zn
0.694 0.806 0.806 Cd
0.306 0.194 0.194 Cd
0.656 0.344 0.344 Cd
0.000 0.344 0.656 Cd
0.000 0.656 0.344 Cd
0.344 0.656 0.656 Cd

***

(6)
Mg5Sb (PBE, optimized geometry); density = 2.9 Mg/m³; symmetry = Cmmm, No. 65; crystal system = orthorhombic; formation energy (no corrections) = -106 meV per atom; spin magnetization = 0.000 μB/atom; polymorph energy (0 for the lowest one) = 0.00 eV per formula unit; volume = 23.141 Å³ per atom
1.0
-3.519 -2.586 5.832
4.107 -1.868 -5.721
3.677 0.547 2.461
Mg Sb
5 1
Direct
0.142 0.858 0.500 Mg
0.640 0.360 0.000 Mg
0.472 0.528 0.500 Mg
0.802 0.198 0.500 Mg
0.304 0.696 0.000 Mg
0.972 0.028 0.000 Sb

***

> Among the records above, which one has the highest spin magnetization?

Pu2Pa2AlSi4